Compound: KMnBiO4
Source: Alexandria
Functional: GGA+U
Structure: optimized geometry

a b c (Å): 6.808 6.808 6.808
angles (deg): 126.13 115.47 88.87
Positions (direct):
K (0.392, 0.142, 0.250)
K (0.608, 0.858, 0.750)
Mn (0.000, 0.000, 0.500)
Mn (0.000, 0.500, 0.000)
Bi (0.000, 0.500, 0.500)
Bi (0.500, 0.500, 0.000)
O (0.172, 0.745, 0.427)
O (0.182, 0.255, 0.927)
O (0.201, 0.211, 0.510)
O (0.201, 0.691, 0.990)
O (0.799, 0.309, 0.010)
O (0.799, 0.789, 0.490)
O (0.818, 0.745, 0.073)
O (0.828, 0.255, 0.573)

Values from the calculation:
Raw total energy: -82.3 eV for the cell shown
Symmetry: Imma